Entry 1:
First-principles (GGA-PBE) data for crystalline LuSc2Ta at its relaxed geometry, as listed in OQMD.

Summary:
The final energy comes out at -27.7 eV for the cell shown. The value obtained for the energy of formation from the pure elements is 0.3249 eV/atom. The symmetry is F-43m, No. 216.

Lattice parameters (Å, degrees): 5.022 5.022 5.022 60.00 60.00 60.00
Each line ends with the local moment (μB).
Sites, in units of the cell vectors:
Ta 0.500 0.500 0.500  0.82
Sc 0.750 0.750 0.750  0.30
Sc 0.000 0.000 0.000  0.01
Lu 0.250 0.250 0.250  0.25

---

Entry 2:
First-principles (GGA-PBE) data for crystalline MgNb2S4 at its relaxed geometry, as listed in OQMD.

Summary:
The final energy comes out at -89.8 eV for the cell shown. The symmetry is Fd-3m, No. 227.

Lattice parameters (Å, degrees): 7.343 7.343 7.343 60.00 60.00 60.00
Each line ends with the local moment (μB).
Sites, in units of the cell vectors:
Mg 0.500 0.500 0.500  0.00
Mg 0.750 0.750 0.750  0.00
S 0.881 0.356 0.881  0.00
S 0.894 0.369 0.369  0.00
S 0.881 0.881 0.881  0.00
S 0.369 0.369 0.369  0.00
S 0.369 0.369 0.894  0.00
S 0.881 0.881 0.356  0.00
S 0.369 0.894 0.369  0.00
S 0.356 0.881 0.881  0.00
Nb 0.125 0.625 0.125  0.12
Nb 0.625 0.125 0.125  0.20
Nb 0.125 0.125 0.625  0.10
Nb 0.125 0.125 0.125  0.11

---

Entry 3:
First-principles (GGA-PBE) data for crystalline HfZr4Sc at its relaxed geometry, as listed in OQMD.

Summary:
The final energy comes out at -101.4 eV for the cell shown. The value obtained for the energy of formation from the pure elements is -0.0357 eV/atom. The symmetry is Immm, No. 71.

Lattice parameters (Å, degrees): 4.999 8.655 8.027 90.00 128.47 90.00
Sites, in units of the cell vectors:
Zr 0.251 0.583 0.501
Zr 0.251 0.417 0.001
Zr 0.251 0.083 0.001
Zr 0.749 0.917 0.999
Zr 0.749 0.417 0.499
Zr 0.749 0.083 0.499
Zr 0.251 0.917 0.501
Zr 0.749 0.583 0.999
Hf 0.000 0.750 0.750
Hf 0.000 0.250 0.250
Sc 0.500 0.250 0.750
Sc 0.500 0.750 0.250

---

Entry 4:
First-principles (GGA-PBE) data for crystalline SmCuMo at its relaxed geometry, as listed in OQMD.

Summary:
The final energy comes out at -16.2 eV for the cell shown. The value obtained for the energy of formation from the pure elements is 1.0305 eV/atom. The symmetry is F-43m, No. 216.

Lattice parameters (Å, degrees): 4.550 4.550 4.550 60.00 60.00 60.00
Sites, in units of the cell vectors:
Sm 0.750 0.750 0.750
Cu 0.250 0.250 0.250
Mo 0.000 0.000 0.000

---

Entry 5:
First-principles (GGA-PBE) data for crystalline TbPb2Cl8 at its relaxed geometry, as listed in OQMD.

Summary:
The final energy comes out at -41.6 eV for the cell shown. The symmetry is I-4, No. 82.

Lattice parameters (Å, degrees): 8.491 8.491 8.491 134.61 134.61 66.14
Sites, in units of the cell vectors:
Cl 0.733 0.269 0.112
Cl 0.015 0.387 0.063
Cl 0.157 0.620 0.888
Cl 0.731 0.843 0.464
Cl 0.049 0.985 0.372
Cl 0.613 0.676 0.628
Cl 0.380 0.267 0.536
Cl 0.324 0.951 0.937
Pb 0.325 0.325 0.000
Pb 0.675 0.675 0.000
Tb 0.000 0.000 0.000

---

Entry 6:
First-principles (GGA-PBE) data for crystalline LiZr3Bi5 at its relaxed geometry, as listed in OQMD.

Summary:
The final energy comes out at -49.2 eV for the cell shown. The symmetry is P6/mmm, No. 191.

Lattice parameters (Å, degrees): 6.071 6.071 9.105 90.00 90.00 120.00
Sites, in units of the cell vectors:
Bi 0.667 0.333 0.789
Bi 0.000 0.000 0.500
Bi 0.333 0.667 0.211
Bi 0.333 0.667 0.789
Bi 0.667 0.333 0.211
Zr 0.000 0.500 0.500
Zr 0.500 0.500 0.500
Zr 0.500 0.000 0.500
Li 0.000 0.000 0.000

---

Entry 7:
First-principles (GGA-PBE) data for crystalline LiTmRe3 at its relaxed geometry, as listed in OQMD.

Summary:
The final energy comes out at -84.5 eV for the cell shown. The symmetry is Cmcm, No. 63.

Lattice parameters (Å, degrees): 7.793 7.793 5.331 90.00 90.00 146.79
Sites, in units of the cell vectors:
Li 0.034 0.966 0.250
Li 0.966 0.034 0.750
Re 0.185 0.815 0.982
Re 0.815 0.185 0.482
Re 0.337 0.663 0.750
Re 0.815 0.185 0.018
Re 0.185 0.815 0.518
Re 0.663 0.337 0.250
Tm 0.577 0.423 0.750
Tm 0.423 0.577 0.250

---

Entry 8:
First-principles (GGA-PBE) data for crystalline LiScGaPd at its relaxed geometry, as listed in OQMD.

Summary:
The final energy comes out at -18.8 eV for the cell shown. The symmetry is F-43m, No. 216.

Lattice parameters (Å, degrees): 4.464 4.464 4.464 60.00 60.00 60.00
Sites, in units of the cell vectors:
Ga 0.250 0.250 0.250
Li 0.750 0.750 0.750
Sc 0.500 0.500 0.500
Pd 0.000 0.000 0.000

---

Entry 9:
First-principles (GGA-PBE) data for crystalline Hf2ZrNi2As4Pd2 at its relaxed geometry, as listed in OQMD.

Summary:
The final energy comes out at -77.1 eV for the cell shown. The symmetry is Pm, No. 6.

Lattice parameters (Å, degrees): 6.535 3.876 7.451 90.00 90.12 90.00
Sites, in units of the cell vectors:
As 0.758 0.000 0.096
As 0.220 0.500 0.863
As 0.243 0.000 0.389
As 0.763 0.500 0.649
Zr 0.538 0.500 0.321
Ni 0.145 0.500 0.554
Ni 0.622 0.500 0.945
Pd 0.359 0.000 0.063
Pd 0.853 0.000 0.443
Hf 0.471 0.000 0.697
Hf 0.030 0.500 0.178

---

Entry 10:
First-principles (GGA-PBE) data for crystalline PmNdNO at its relaxed geometry, as listed in OQMD.

Summary:
The final energy comes out at -58.0 eV for the cell shown. The symmetry is P4/nmm, No. 129.

Lattice parameters (Å, degrees): 4.335 4.335 8.283 90.00 90.00 90.00
Each line ends with the local moment (μB).
Sites, in units of the cell vectors:
Nd 0.000 0.000 0.500  0.20
Nd 0.500 0.500 0.500  0.20
Pm 0.500 0.000 0.111  0.14
Pm 0.000 0.500 0.889  0.14
O 0.000 0.000 0.000  0.00
O 0.500 0.500 0.000  0.00
N 0.500 0.000 0.639  0.01
N 0.000 0.500 0.361  0.01

---

Entry 11:
First-principles (GGA-PBE) data for crystalline Ta2Co at its relaxed geometry, as listed in OQMD.

Summary:
The final energy comes out at -124.2 eV for the cell shown. The value obtained for the energy of formation from the pure elements is -0.0818 eV/atom. The symmetry is Cmcm, No. 63.

Lattice parameters (Å, degrees): 5.058 5.058 8.250 90.00 90.00 116.58
Sites, in units of the cell vectors:
Ta 0.673 0.327 0.059
Ta 0.672 0.825 0.250
Ta 0.328 0.175 0.750
Ta 0.327 0.673 0.941
Ta 0.825 0.672 0.750
Ta 0.327 0.673 0.559
Ta 0.673 0.327 0.441
Ta 0.175 0.328 0.250
Co 0.000 0.000 0.500
Co 0.820 0.180 0.750
Co 0.000 0.000 0.000
Co 0.180 0.820 0.250

---

Entry 12:
First-principles (GGA-PBE) data for crystalline GdAgNO at its relaxed geometry, as listed in OQMD.

Summary:
The final energy comes out at -48.7 eV for the cell shown. The symmetry is Pmc2_1, No. 26.

Lattice parameters (Å, degrees): 3.965 5.661 6.186 90.00 90.00 90.00
Sites, in units of the cell vectors:
O 0.500 0.880 0.862
O 0.500 0.380 0.138
Ag 0.000 0.498 0.340
Ag 0.000 0.998 0.660
Gd 0.500 0.999 0.196
Gd 0.500 0.499 0.804
N 0.000 0.876 0.332
N 0.000 0.376 0.668

---

Calculated values (μB/cell) of magnetic moment for the records, taken in order: 2.089; 0.834; 0.021; 2.111; 0.003; 0.006; 0.019; 0.001; 0.010; 1.463; 0.041; 1.800.
Calculated values (g/cm3) of theoretical density for the records, taken in order: 8.3; 4.0; 7.2; 7.7; 4.7; 7.6; 13.8; 6.0; 9.5; 6.8; 14.8; 7.1.